A PBEsol-optimized structure of CaZrAs2, computed with meta-GGA SCAN.

Properties
Fermi-level density of states: 1.8 states/eV per cell
SG: C2/m (12)
total DFT energy (no corrections): -21.05 eV per atom
energy of formation from the pure elements: -0.868 eV/atom
offset from the most stable computed form: 0.471 eV per atom

Cell and atoms, written as extended XYZ:
```
4
Lattice="-0.3292 -1.4686 -2.7479 5.0810 1.0566 -0.1777 0.8327 -4.0940 3.0839" Properties=species:S:1:pos:R:3 pbc="T T T"
As 0.4164 -2.0470 1.5420
As 2.5405 0.5283 -0.0888
Ca -0.1646 -0.7343 -1.3740
Zr 2.7923 -2.2529 0.0792
```